# 1
Material: ZrScTePd2
Method: DFT, PBE
State: optimized geometry

a = 4.9090 Å, b = 4.9090 Å, c = 5.3060 Å
α = 90.00°, β = 90.00°, γ = 90.00°
Positions (direct):
Zr  0.0000  0.0000  0.0000
Sc  0.5000  0.5000  0.0000
Te  0.0000  0.0000  0.5000
Pd  0.0000  0.5000  0.5000
Pd  0.5000  0.0000  0.5000

Summary:
Formation energy without anion corrections   0.18 eV/atom
Relative energy among the computed polymorphs   0 meV per atom
Symmetry   No. 123

***

# 2
Material: Y3PuRu4
Method: DFT, PBE
State: optimized geometry

a = 6.7855 Å, b = 6.7912 Å, c = 7.6182 Å
α = 90.00°, β = 116.34°, γ = 90.00°
Positions (direct):
Y  0.0000  0.0000  0.0000
Y  0.2484  0.0000  0.4970
Y  0.2516  0.5000  0.5030
Y  0.5000  0.5000  0.0000
Y  0.7484  0.5000  0.4970
Y  0.7516  0.0000  0.5030
Pu  0.0000  0.5000  0.0000
Pu  0.5000  0.0000  0.0000
Ru  0.1312  0.2504  0.7631
Ru  0.1312  0.7496  0.7631
Ru  0.3688  0.2496  0.2369
Ru  0.3688  0.7504  0.2369
Ru  0.6312  0.2496  0.7631
Ru  0.6312  0.7504  0.7631
Ru  0.8688  0.2504  0.2369
Ru  0.8688  0.7496  0.2369

Summary:
Symmetry   No. 12

***

# 3
Material: Mg3Ga2Pd4
Method: DFT, PBE
State: optimized geometry

a = 4.6101 Å, b = 4.6101 Å, c = 8.4912 Å
α = 96.82°, β = 96.82°, γ = 53.10°
Positions (direct):
Mg  0.0000  0.0000  0.0000
Mg  0.3402  0.3402  0.4301
Mg  0.6598  0.6598  0.5699
Ga  0.3331  0.3331  0.7899
Ga  0.6669  0.6669  0.2101
Pd  0.0160  0.0160  0.3262
Pd  0.3259  0.3259  0.1116
Pd  0.6741  0.6741  0.8884
Pd  0.9840  0.9840  0.6738

Summary:
Relative energy among the computed polymorphs   0 meV per atom
Symmetry   No. 12

***

# 4
Material: Be2SnAu
Method: DFT, PBE
State: optimized geometry

a = 6.6282 Å, b = 6.6282 Å, c = 6.3044 Å
α = 90.00°, β = 90.00°, γ = 90.00°
Positions (direct):
Be  0.2127  0.2500  0.1250
Be  0.2500  0.7127  0.3750
Be  0.2500  0.7873  0.8750
Be  0.2873  0.2500  0.6250
Be  0.7127  0.7500  0.6250
Be  0.7500  0.2127  0.8750
Be  0.7500  0.2873  0.3750
Be  0.7873  0.7500  0.1250
Sn  0.0000  0.0000  0.5000
Sn  0.0000  0.5000  0.7500
Sn  0.5000  0.0000  0.2500
Sn  0.5000  0.5000  0.0000
Au  0.0000  0.0000  0.0000
Au  0.0000  0.5000  0.2500
Au  0.5000  0.0000  0.7500
Au  0.5000  0.5000  0.5000

Summary:
Symmetry   No. 122

***

Total DFT energy (no corrections), record by record: -27.5; -146.0; -37.4; -52.1 eV per cell
DOS at the Fermi energy, record by record: 0.45; 1.14; 0.30; 0.45 states/eV/atom